# 1
Compound: Eu2MgAu
Source: Alexandria
Functional: GGA-PBE
Structure: relaxed

* E_form: -10.6 kJ per mole of atoms
* excess energy over the best structure of this formula in the dataset: 1.32 eV/f.u.
* SG: No. 166

Cell and atoms, written as POSCAR:
```
Eu2MgAu
1.0
4.0374 0.0000 0.0000
-2.0187 3.4965 0.0000
0.0000 0.0000 32.4934
Eu Mg Au
6 3 3
Direct
0.0000 0.0000 0.1075
0.0000 0.0000 0.8925
0.3333 0.6667 0.5592
0.3333 0.6667 0.7741
0.6667 0.3333 0.2259
0.6667 0.3333 0.4408
0.0000 0.0000 0.0000
0.3333 0.6667 0.6667
0.6667 0.3333 0.3333
0.0000 0.0000 0.5000
0.3333 0.6667 0.1667
0.6667 0.3333 0.8333
```

# 2
Compound: EuMgPbAu
Source: Alexandria
Functional: GGA-PBE
Structure: relaxed

* E_form: -45.9 kJ per mole of atoms
* SG: No. 216

Cell and atoms, written as POSCAR:
```
EuMgPbAu
1.0
7.3607 0.0000 0.0000
0.0000 7.3607 0.0000
0.0000 0.0000 7.3607
Eu Mg Pb Au
4 4 4 4
Direct
0.0000 0.0000 0.0000
0.0000 0.5000 0.5000
0.5000 0.0000 0.5000
0.5000 0.5000 0.0000
0.0000 0.0000 0.5000
0.0000 0.5000 0.0000
0.5000 0.0000 0.0000
0.5000 0.5000 0.5000
0.2500 0.2500 0.2500
0.2500 0.7500 0.7500
0.7500 0.2500 0.7500
0.7500 0.7500 0.2500
0.2500 0.2500 0.7500
0.2500 0.7500 0.2500
0.7500 0.2500 0.2500
0.7500 0.7500 0.7500
```

# 3
Compound: PmEuMgAu
Source: Alexandria
Functional: GGA-PBE
Structure: relaxed

* E_form: -35.3 kJ per mole of atoms
* SG: No. 216

Cell and atoms, written as POSCAR:
```
PmEuMgAu
1.0
7.5971 0.0000 0.0000
0.0000 7.5971 0.0000
0.0000 0.0000 7.5971
Pm Eu Mg Au
4 4 4 4
Direct
0.0000 0.0000 0.0000
0.0000 0.5000 0.5000
0.5000 0.0000 0.5000
0.5000 0.5000 0.0000
0.0000 0.0000 0.5000
0.0000 0.5000 0.0000
0.5000 0.0000 0.0000
0.5000 0.5000 0.5000
0.2500 0.2500 0.2500
0.2500 0.7500 0.7500
0.7500 0.2500 0.7500
0.7500 0.7500 0.2500
0.2500 0.2500 0.7500
0.2500 0.7500 0.2500
0.7500 0.2500 0.2500
0.7500 0.7500 0.7500
```

# 4
Compound: PrEuMgAu
Source: Alexandria
Functional: GGA-PBE
Structure: relaxed

* E_form: -35.0 kJ per mole of atoms
* SG: No. 216

Cell and atoms, written as POSCAR:
```
PrEuMgAu
1.0
7.6555 0.0000 0.0000
0.0000 7.6555 0.0000
0.0000 0.0000 7.6555
Pr Eu Mg Au
4 4 4 4
Direct
0.0000 0.0000 0.0000
0.0000 0.5000 0.5000
0.5000 0.0000 0.5000
0.5000 0.5000 0.0000
0.0000 0.0000 0.5000
0.0000 0.5000 0.0000
0.5000 0.0000 0.0000
0.5000 0.5000 0.5000
0.2500 0.2500 0.2500
0.2500 0.7500 0.7500
0.7500 0.2500 0.7500
0.7500 0.7500 0.2500
0.2500 0.2500 0.7500
0.2500 0.7500 0.2500
0.7500 0.2500 0.2500
0.7500 0.7500 0.7500
```

# 5
Compound: EuMgRhAu
Source: Alexandria
Functional: GGA-PBE
Structure: relaxed

* E_form: -41.8 kJ per mole of atoms
* SG: No. 216

Cell and atoms, written as POSCAR:
```
EuMgRhAu
1.0
6.8979 0.0000 0.0000
0.0000 6.8979 0.0000
0.0000 0.0000 6.8979
Eu Mg Rh Au
4 4 4 4
Direct
0.0000 0.0000 0.0000
0.0000 0.5000 0.5000
0.5000 0.0000 0.5000
0.5000 0.5000 0.0000
0.0000 0.0000 0.5000
0.0000 0.5000 0.0000
0.5000 0.0000 0.0000
0.5000 0.5000 0.5000
0.2500 0.2500 0.7500
0.2500 0.7500 0.2500
0.7500 0.2500 0.2500
0.7500 0.7500 0.7500
0.2500 0.2500 0.2500
0.2500 0.7500 0.7500
0.7500 0.2500 0.7500
0.7500 0.7500 0.2500
```

# 6
Compound: EuMgSiAu
Source: Alexandria
Functional: GGA-PBE
Structure: relaxed

* uncorrected formation energy: -0.43 eV per atom
* SG: No. 216

Cell and atoms, written as POSCAR:
```
EuMgSiAu
1.0
7.0004 0.0000 0.0000
0.0000 7.0004 0.0000
0.0000 0.0000 7.0004
Eu Mg Si Au
4 4 4 4
Direct
0.0000 0.0000 0.0000
0.0000 0.5000 0.5000
0.5000 0.0000 0.5000
0.5000 0.5000 0.0000
0.0000 0.0000 0.5000
0.0000 0.5000 0.0000
0.5000 0.0000 0.0000
0.5000 0.5000 0.5000
0.2500 0.2500 0.7500
0.2500 0.7500 0.2500
0.7500 0.2500 0.2500
0.7500 0.7500 0.7500
0.2500 0.2500 0.2500
0.2500 0.7500 0.7500
0.7500 0.2500 0.7500
0.7500 0.7500 0.2500
```

# 7
Compound: EuTmMgAu
Source: Alexandria
Functional: GGA-PBE
Structure: relaxed

* E_form: -34.9 kJ per mole of atoms
* SG: No. 216

Cell and atoms, written as POSCAR:
```
EuTmMgAu
1.0
7.4486 0.0000 0.0000
0.0000 7.4486 0.0000
0.0000 0.0000 7.4486
Eu Tm Mg Au
4 4 4 4
Direct
0.0000 0.0000 0.0000
0.0000 0.5000 0.5000
0.5000 0.0000 0.5000
0.5000 0.5000 0.0000
0.0000 0.0000 0.5000
0.0000 0.5000 0.0000
0.5000 0.0000 0.0000
0.5000 0.5000 0.5000
0.2500 0.2500 0.2500
0.2500 0.7500 0.7500
0.7500 0.2500 0.7500
0.7500 0.7500 0.2500
0.2500 0.2500 0.7500
0.2500 0.7500 0.2500
0.7500 0.2500 0.2500
0.7500 0.7500 0.7500
```

# 8
Compound: EuYMgAu
Source: Alexandria
Functional: GGA-PBE
Structure: relaxed

* E_form: -36.0 kJ per mole of atoms
* SG: No. 216

Cell and atoms, written as POSCAR:
```
EuYMgAu
1.0
7.5071 0.0000 0.0000
0.0000 7.5071 0.0000
0.0000 0.0000 7.5071
Eu Y Mg Au
4 4 4 4
Direct
0.0000 0.0000 0.0000
0.0000 0.5000 0.5000
0.5000 0.0000 0.5000
0.5000 0.5000 0.0000
0.0000 0.0000 0.5000
0.0000 0.5000 0.0000
0.5000 0.0000 0.0000
0.5000 0.5000 0.5000
0.2500 0.2500 0.2500
0.2500 0.7500 0.7500
0.7500 0.2500 0.7500
0.7500 0.7500 0.2500
0.2500 0.2500 0.7500
0.2500 0.7500 0.2500
0.7500 0.2500 0.2500
0.7500 0.7500 0.7500
```

no.,DFT total energy (eV for the cell shown),magnetization (μB/cell)
1,-77.6,43.6
2,-83.0,27.1
3,-85.4,28.6
4,-85.5,28.8
5,-96.9,27.5
6,-89.1,27.1
7,-84.3,28.8
8,-92.4,28.8